# Rb2MgBr2

Rb2MgBr2 after structural relaxation (PBEsol, the Alexandria database).

## Properties
Its space group is I4/mmm, No. 139. The calculation puts the density of states at the Fermi level at 0.0 states/eV/cell. As for the uncorrected formation energy: -4.76 eV/f.u. The total energy is -2.45 eV/atom.

Cell: 6.357 6.357 7.826 Å, 113.96 113.96 90.00°
Fractional positions:
Mg1 0.000 0.000 0.000
Br1 0.250 0.750 0.500
Br2 0.750 0.250 0.500
Rb1 0.316 0.316 0.631
Rb2 0.684 0.684 0.369